# 1
VASP calculation (PBE) on an optimized crystal structure of LiMoPd6.

```
data_LiMoPd6
_cell_length_a 3.937
_cell_length_b 3.937
_cell_length_c 7.754
_cell_angle_alpha 90.00
_cell_angle_beta 90.00
_cell_angle_gamma 90.00
_symmetry_space_group_name_H-M 'P 4/m m m'
_symmetry_Int_Tables_number 123
_symmetry_space_group_name_Hall '-P 4 2'
loop_
_atom_site_label
_atom_site_type_symbol
_atom_site_fract_x
_atom_site_fract_y
_atom_site_fract_z
_atom_site_occupancy
Li1 Li 0.000 0.000 0.000 1
Mo1 Mo 0.000 0.000 0.500 1
Pd1 Pd 0.000 0.500 0.254 1
Pd2 Pd 0.500 0.500 0.000 1
Pd3 Pd 0.500 0.500 0.500 1
```

Calculated values
The total energy is -5.68 eV/atom. The calculation puts the size of the total moment at 0.0 μB/cell.

=====

# 2
VASP calculation (PBE) on an optimized crystal structure of LiMoPd2.

```
data_LiMoPd2
_cell_length_a 6.145
_cell_length_b 6.145
_cell_length_c 6.145
_cell_angle_alpha 90.00
_cell_angle_beta 90.00
_cell_angle_gamma 90.00
_symmetry_space_group_name_H-M 'F -4 3 m'
_symmetry_Int_Tables_number 216
_symmetry_space_group_name_Hall 'F -4 2 3'
loop_
_atom_site_label
_atom_site_type_symbol
_atom_site_fract_x
_atom_site_fract_y
_atom_site_fract_z
_atom_site_occupancy
Li1 Li 0.000 0.000 0.000 1
Mo1 Mo 0.250 0.250 0.250 1
Pd1 Pd 0.000 0.000 0.500 1
Pd2 Pd 0.250 0.250 0.750 1
```

Calculated values
The total energy is -5.63 eV/atom. The calculation puts the size of the total moment at 0.0 μB/cell.